[1]
A plane-wave DFT calculation with PBE was carried out for crystalline VGaCo at its relaxed geometry.

Properties
Space group   No. 166
Total magnetization   0.00 μB/f.u.
Formation energy from the elements   -0.0713 eV per atom

Lattice parameters (Å, degrees): 6.399 6.399 6.399 37.57 37.57 37.57
Sites, in units of the cell vectors:
1 V 0.118 0.118 0.118
2 V 0.882 0.882 0.882
3 Ga 0.386 0.386 0.386
4 Ga 0.614 0.614 0.614
5 Co 0.240 0.240 0.240
6 Co 0.760 0.760 0.760

[2]
A plane-wave DFT calculation with PBE was carried out for crystalline ZnBi2Rh2 at its relaxed geometry.

Properties
Space group   No. 127
Total magnetization   0.00 μB/f.u.
Formation energy from the elements   -0.0501 eV per atom

Lattice parameters (Å, degrees): 7.127 7.127 3.993 90.00 90.00 90.00
Sites, in units of the cell vectors:
1 Zn 0.000 0.000 0.000
2 Zn 0.500 0.500 0.000
3 Bi 0.161 0.339 0.500
4 Bi 0.339 0.839 0.500
5 Bi 0.661 0.161 0.500
6 Bi 0.839 0.661 0.500
7 Rh 0.146 0.646 0.000
8 Rh 0.354 0.146 0.000
9 Rh 0.646 0.854 0.000
10 Rh 0.854 0.354 0.000

[3]
A plane-wave DFT calculation with PBE was carried out for crystalline Na3Ga2S4 at its relaxed geometry.

Properties
Space group   No. 15
Total magnetization   0.00 μB/f.u.
Formation energy without anion corrections   -832 meV per atom

Lattice parameters (Å, degrees): 8.610 8.610 7.214 90.12 90.12 52.80
Sites, in units of the cell vectors:
1 Na 0.015 0.985 0.750
2 Na 0.285 0.479 0.130
3 Na 0.479 0.285 0.630
4 Na 0.521 0.715 0.370
5 Na 0.715 0.521 0.870
6 Na 0.985 0.015 0.250
7 Ga 0.053 0.320 0.518
8 Ga 0.320 0.053 0.018
9 Ga 0.680 0.947 0.982
10 Ga 0.947 0.680 0.482
11 S 0.157 0.315 0.820
12 S 0.202 0.684 0.491
13 S 0.315 0.157 0.320
14 S 0.316 0.798 0.009
15 S 0.684 0.202 0.991
16 S 0.685 0.843 0.680
17 S 0.798 0.316 0.509
18 S 0.843 0.685 0.180